1.
The following is a meta-GGA SCAN calculation of a crystal of BeCrSN2 relaxed with PBEsol, from the Alexandria database.

Unit cell a=3.5133 b=3.5133 c=4.9820 alpha=90.00 beta=90.00 gamma=90.00
Space group P4/mmm (No. 123)
One atom of each set of equivalent atoms:
Be 0.0000 0.0000 0.0000 x1
Cr 0.5000 0.5000 0.5000 x1
S 0.5000 0.5000 0.0000 x1
N 0.0000 0.5000 0.5000 x2

Fermi-level density of states = 1.60 states/eV/cell
DFT total energy = -48.80 eV for the cell shown
Crystal system = tetragonal

---

2.
The following is a meta-GGA SCAN calculation of a crystal of BeCrSe2N relaxed with PBEsol, from the Alexandria database.

Unit cell a=4.8476 b=4.8476 c=3.0796 alpha=90.00 beta=90.00 gamma=90.00
Space group P4/mmm (No. 123)
One atom of each set of equivalent atoms:
Be 0.0000 0.0000 0.0000 x1
Cr 0.5000 0.5000 0.5000 x1
Se 0.0000 0.5000 0.0000 x2
N 0.0000 0.0000 0.5000 x1

Fermi-level density of states = 2.03 states/eV/cell
DFT total energy = -70.84 eV for the cell shown
Crystal system = tetragonal

---

- Which of these has the highest DFT total energy?
  BeCrSN2